[1]
An optimized crystal structure of Ce2AlHg6, computed with GGA-PBE.

Summary:
The density of states at the Fermi level is 13.5 states/eV per cell. The total magnetic moment comes out at 2.582 μB/f.u. The calculated volume is 25.237 A^3/atom. As for the space-group type: No. 12. The formation enthalpy at 0 K is -0.121 eV per atom.

Cell lengths 8.949, 8.949, 3.377 Å; angles 90.45, 90.45, 57.13 degrees
Element x y z (fractional)
Ce 0.195 0.195 0.497
Ce 0.805 0.805 0.503
Al 0.500 0.500 0.000
Hg 0.170 0.529 0.003
Hg 0.173 0.827 0.500
Hg 0.471 0.830 0.997
Hg 0.529 0.170 0.003
Hg 0.827 0.173 0.500
Hg 0.830 0.471 0.997

---

[2]
An optimized crystal structure of AcTl2Cl8, computed with GGA-PBE.

Summary:
The calculation puts the raw formation energy at -1.20 eV per atom. The density of states at the Fermi level is 4.0 states/eV per cell. The total magnetic moment comes out at 0.000 μB/f.u. The calculated volume is 32.285 A^3/atom. As for the space-group type: No. 12.

Cell lengths 7.967, 7.967, 7.228 Å; angles 104.83, 104.83, 53.90 degrees
Element x y z (fractional)
Ac 0.000 0.000 0.000
Tl 0.230 0.230 0.725
Tl 0.770 0.770 0.275
Cl 0.133 0.640 0.188
Cl 0.172 0.172 0.331
Cl 0.360 0.867 0.812
Cl 0.411 0.411 0.765
Cl 0.589 0.589 0.235
Cl 0.640 0.133 0.188
Cl 0.828 0.828 0.669
Cl 0.867 0.360 0.812

---

[3]
An optimized crystal structure of NaTiTe2O8, computed with GGA-PBE.

Summary:
The calculation puts the raw formation energy at -1.50 eV per atom. The density of states at the Fermi level is 1.0 states/eV per cell. The total magnetic moment comes out at 0.000 μB/f.u. The calculated volume is 12.277 A^3/atom. As for the space-group type: No. 65.

Cell lengths 4.805, 4.805, 6.395 Å; angles 90.00, 90.00, 93.96 degrees
Element x y z (fractional)
Na 0.000 0.000 0.000
Ti 0.000 0.000 0.500
Te 0.500 0.500 0.250
Te 0.500 0.500 0.750
O 0.202 0.202 0.279
O 0.202 0.202 0.721
O 0.306 0.694 0.500
O 0.323 0.677 0.000
O 0.677 0.323 0.000
O 0.694 0.306 0.500
O 0.798 0.798 0.279
O 0.798 0.798 0.721

---

[4]
An optimized crystal structure of LiRuCl2O, computed with GGA-PBE.

Summary:
The calculation puts the raw formation energy at 0.70 eV per atom. The density of states at the Fermi level is 3.0 states/eV per cell. The total magnetic moment comes out at 4.968 μB/f.u. The calculated volume is 19.028 A^3/atom. As for the space-group type: No. 123.

Cell lengths 4.331, 4.331, 5.073 Å; angles 90.00, 90.00, 90.00 degrees
Element x y z (fractional)
Li 0.000 0.000 0.000
Ru 0.000 0.000 0.500
Cl 0.000 0.500 0.000
Cl 0.500 0.000 0.000
O 0.500 0.500 0.500

---

[5]
An optimized crystal structure of HoZn11Pd, computed with GGA-PBE.

Summary:
The density of states at the Fermi level is 3.8 states/eV per cell. The total magnetic moment comes out at 0.000 μB/f.u. The calculated volume is 15.849 A^3/atom. As for the space-group type: No. 12. The formation enthalpy at 0 K is -0.248 eV per atom.

Cell lengths 6.813, 6.813, 6.763 Å; angles 98.25, 98.25, 134.95 degrees
Element x y z (fractional)
Ho 0.000 0.000 0.000
Zn 0.000 0.500 0.000
Zn 0.008 0.657 0.647
Zn 0.286 0.504 0.785
Zn 0.343 0.992 0.353
Zn 0.496 0.714 0.215
Zn 0.500 0.000 0.000
Zn 0.500 0.500 0.500
Zn 0.504 0.286 0.785
Zn 0.657 0.008 0.647
Zn 0.714 0.496 0.215
Zn 0.992 0.343 0.353
Pd 0.000 0.000 0.500

---

[6]
An optimized crystal structure of AsRuF2, computed with GGA-PBE.

Summary:
The calculation puts the raw formation energy at -0.60 eV per atom. The density of states at the Fermi level is 2.9 states/eV per cell. The distance to the lowest polymorph of the same formula is 0.0 meV per atom. The total magnetic moment comes out at 0.529 μB/f.u. The calculated volume is 13.457 A^3/atom. As for the space-group type: No. 166.

Cell lengths 8.280, 8.280, 8.280 Å; angles 19.23, 19.23, 19.23 degrees
Element x y z (fractional)
As 0.000 0.000 0.000
Ru 0.500 0.500 0.500
F 0.419 0.419 0.419
F 0.581 0.581 0.581